1.
DFT (PBE) results for an optimized crystal structure of YCd2Pt9.

Output
**Calculated formation energy**: -41.96 kJ per mole of atoms
**Mass density**: 15.7 Mg/m³
**DOS(E_F)**: 33.15 states/eV per cell
**Final energy**: -5.657 eV/atom
**Magnetic moment**: 0.0 μB/f.u.

The structure in CIF format:
```
data_YCd2Pt9
_cell_length_a 5.3697
_cell_length_b 5.3697
_cell_length_c 26.2980
_cell_angle_alpha 90.00
_cell_angle_beta 90.00
_cell_angle_gamma 120.00
_space_group_name_H-M_alt 'R -3 m'
_space_group_IT_number 166
_space_group_name_Hall '-R 3 2"'
loop_
_atom_site_label
_atom_site_fract_x
_atom_site_fract_y
_atom_site_fract_z
Y1 0.0000 0.0000 0.0000
Cd1 0.0000 0.0000 0.1444
Pt1 0.0000 0.0000 0.3337
Pt2 0.0000 0.0000 0.5000
Pt3 0.0043 0.5022 0.9149
```



2.
DFT (PBE) results for an optimized crystal structure of TlFeP.

Output
**Calculated formation energy**: 17.30 kJ per mole of atoms
**E above lowest polymorph**: 1.33 eV/f.u.
**Mass density**: 9.1 Mg/m³
**DOS(E_F)**: 2.08 states/eV per cell
**Final energy**: -5.234 eV/atom
**Magnetic moment**: 0.9 μB/f.u.

The structure in CIF format:
```
data_TlFeP
_cell_length_a 3.1839
_cell_length_b 3.1839
_cell_length_c 6.0415
_cell_angle_alpha 90.00
_cell_angle_beta 90.00
_cell_angle_gamma 120.00
_space_group_name_H-M_alt 'P 3 m 1'
_space_group_IT_number 156
loop_
_space_group_symop_operation_xyz
'x,y,z'
'-y,x-y,z'
'-x+y,-x,z'
'-y,-x,z'
'-x+y,y,z'
'x,x-y,z'
loop_
_atom_site_label
_atom_site_fract_x
_atom_site_fract_y
_atom_site_fract_z
Tl1 0.0000 0.0000 0.0000
Fe1 0.3333 0.6667 0.3694
P1 0.6667 0.3333 0.5704
```



3.
DFT (PBE) results for an optimized crystal structure of Sm6Ho8Sn.

Output
**Calculated formation energy**: 3.79 kJ per mole of atoms
**Mass density**: 8.0 Mg/m³
**DOS(E_F)**: 18.77 states/eV per cell
**Final energy**: -4.557 eV/atom
**Magnetic moment**: 0.0 μB/f.u.

The structure in CIF format:
```
data_Sm6Ho8Sn
_cell_length_a 9.3501
_cell_length_b 9.3501
_cell_length_c 6.4208
_cell_angle_alpha 90.00
_cell_angle_beta 90.00
_cell_angle_gamma 120.00
_space_group_name_H-M_alt 'P -3'
_space_group_IT_number 147
loop_
_space_group_symop_operation_xyz
'x,y,z'
'-x,-y,-z'
'-y,x-y,z'
'y,-x+y,-z'
'-x+y,-x,z'
'x-y,x,-z'
loop_
_atom_site_label
_atom_site_fract_x
_atom_site_fract_y
_atom_site_fract_z
Sm1 0.0908 0.4495 0.1799
Ho1 0.0376 0.2621 0.6861
Ho2 0.3333 0.6667 0.6613
Sn1 0.0000 0.0000 0.0000
```



4.
DFT (PBE) results for an optimized crystal structure of Li2ZrPb.

Output
**Calculated formation energy**: 8.96 kJ per mole of atoms
**Mass density**: 5.8 Mg/m³
**DOS(E_F)**: 5.38 states/eV per cell
**Final energy**: -3.928 eV/atom
**Magnetic moment**: 0.0 μB/f.u.

The structure in CIF format:
```
data_Li2ZrPb
_cell_length_a 3.4225
_cell_length_b 5.1405
_cell_length_c 10.2467
_cell_angle_alpha 90.00
_cell_angle_beta 90.00
_cell_angle_gamma 90.00
_space_group_name_H-M_alt 'C m m m'
_space_group_IT_number 65
_space_group_name_Hall '-C 2 2'
loop_
_atom_site_label
_atom_site_fract_x
_atom_site_fract_y
_atom_site_fract_z
Li1 0.0000 0.0000 0.2409
Zr1 0.0000 0.5000 0.5000
Pb1 0.0000 0.5000 0.0000
```